VASP calculation (PBE+U) on a relaxed structure of PWS2F.

Output
The value obtained for the total energy is -4.30 eV per atom. For the calculated density, the calculation gives 4.80 g/cm³. Its energy above the lowest structure with this stoichiometry is 0.000 eV per atom. For the density of states at the Fermi level, the calculation gives 3.6 states/eV per cell.

Lattice parameters (Å, degrees): 4.6231 4.6231 4.8266 90.00 90.00 90.00
Closest atoms and distances in Å follow each position.
Sites, in units of the cell vectors:
P 0.0000 0.0000 0.5000  2 W 2.41
S 0.0000 0.5000 0.0000  2 W 2.31
S 0.5000 0.0000 0.0000  2 W 2.31
W 0.0000 0.0000 0.0000  4 S 2.31, 2 P 2.41
F 0.5000 0.5000 0.5000  4 P 3.27, 8 S 3.34